VASP calculation (PBE) on a relaxed structure of RbHoAgI6.

abc: 7.6886 8.4565 8.0432
angles: 97.65 93.50 55.72
Closest atoms and distances in Å follow each position.
Atoms (fractional coordinates):
Rb (0.9423, 0.0394, 0.9931)  6 I 3.76-3.83
Ho (0.6454, 0.6724, 0.4874)  6 I 2.92-3.10
Ag (0.3381, 0.2980, 0.5297)  5 I 2.83-3.13
I (0.0331, 0.3808, 0.2691)  1 Ag 2.88, 1 Ho 3.04
I (0.3745, 0.0018, 0.7486)  1 Ho 2.99, 1 Ag 3.13
I (0.6216, 0.3949, 0.6775)  1 Ag 2.88, 1 Ho 3.06
I (0.9985, 0.5959, 0.7403)  1 Ag 2.83, 1 Ho 3.10
I (0.3814, 0.6441, 0.2257)  1 Ho 2.92
I (0.6648, 0.9727, 0.3285)  1 Ag 2.83, 1 Ho 3.07

Computed properties:
- calculated total energy (eV for the cell shown) = -26.29
- formation energy from raw total energies (eV/atom) = -0.955
- crystal system = triclinic
- volume (Å³ per atom) = 47.58


VASP calculation (PBE) on a relaxed structure of BaTlTc2.

abc: 3.3076 5.5856 4.7593
angles: 90.00 90.00 90.00
Closest atoms and distances in Å follow each position.
Atoms (fractional coordinates):
Ba (0.0000, 0.5000, 0.5000)  4 Tc 2.90
Tc (0.0000, 0.0000, 0.0000)  4 Tl 2.90
Tc (0.5000, 0.5000, 0.0000)  4 Ba 2.90
Tl (0.5000, 0.0000, 0.5000)  4 Tc 2.90

Computed properties:
- calculated total energy (eV for the cell shown) = -20.11
- crystal system = orthorhombic
- volume (Å³ per atom) = 21.98
- calculated formation energy (kJ/mol of formula units) = 473.8


VASP calculation (PBE) on a relaxed structure of Sc4CdGa2.

abc: 4.6911 4.6911 9.0349
angles: 74.95 74.95 60.00
Closest atoms and distances in Å follow each position.
Atoms (fractional coordinates):
Sc (0.3846, 0.3846, 0.8462)  3 Ga 2.99, 3 Cd 3.02
Sc (0.2056, 0.2056, 0.3833)  4 Ga 2.73-2.80
Sc (0.7944, 0.7944, 0.6167)  4 Ga 2.73-2.80
Sc (0.6154, 0.6154, 0.1538)  3 Ga 2.99, 3 Cd 3.02
Cd (0.0000, 0.0000, 0.0000)  2 Ga 2.58
Ga (0.0999, 0.0999, 0.7003)  1 Cd 2.58, 4 Sc 2.73-2.80
Ga (0.9001, 0.9001, 0.2997)  1 Cd 2.58, 4 Sc 2.73-2.80

Computed properties:
- calculated total energy (eV for the cell shown) = -33.58
- crystal system = trigonal
- volume (Å³ per atom) = 23.47
- calculated formation energy (kJ/mol of formula units) = -124.1


Look up the calculated total energy of the first one. -26.29 eV for the cell shown


The highest calculated total energy belongs to which entry? BaTlTc2


What is the formula in the second record? BaTlTc2